## CaInN2O (GGA-PBE)

Data for an optimized crystal structure of CaInN2O.

magnetization: 2.94 μB/cell
formation energy without anion corrections: 1.00 eV/f.u.

abc: 4.2773 4.2773 4.2714
angles: 90.00 90.00 90.00
With the nearest neighbours (Å) after each atom.
Atoms (fractional coordinates):
O  0.0000  0.0000  0.5000  2 In 2.14
Ca  0.5000  0.5000  0.5000  8 N 3.02, 4 O 3.02
N  0.5000  0.0000  0.0000  2 In 2.14
N  0.0000  0.5000  0.0000  2 In 2.14
In  0.0000  0.0000  0.0000  2 O 2.14, 4 N 2.14